(1)
Below is a relaxed structure of RbCa2Cu2, with properties calculated at the PBE level.

Values from the calculation:
DFT total energy: -2.374 eV/atom
Calculated formation energy: 0.259 eV per atom
Size of the total moment: 0.0 μB per cell
Distance to the lowest polymorph of the same formula: 0.558 eV/f.u.
Density: 2.688 g/cm3

```
data_RbCa2Cu2
_cell_length_a 5.420
_cell_length_b 5.420
_cell_length_c 12.311
_cell_angle_alpha 90.00
_cell_angle_beta 90.00
_cell_angle_gamma 90.00
_symmetry_space_group_name_H-M 'I 4/m m m'
_symmetry_Int_Tables_number 139
_symmetry_space_group_name_Hall '-I 4 2'
loop_
_atom_site_label
_atom_site_type_symbol
_atom_site_fract_x
_atom_site_fract_y
_atom_site_fract_z
Rb1 Rb 0.000 0.000 0.000
Ca1 Ca 0.000 0.000 0.332
Cu1 Cu 0.000 0.500 0.250
```



(2)
Below is a relaxed structure of RbCa2Cu, with properties calculated at the PBE level.

Values from the calculation:
DFT total energy: -1.853 eV/atom
Calculated formation energy: 0.413 eV per atom
Size of the total moment: 0.0 μB per cell
Distance to the lowest polymorph of the same formula: 1.211 eV/f.u.
Density: 2.788 g/cm3

```
data_RbCa2Cu
_cell_length_a 8.174
_cell_length_b 8.174
_cell_length_c 8.174
_cell_angle_alpha 90.00
_cell_angle_beta 90.00
_cell_angle_gamma 90.00
_symmetry_space_group_name_H-M 'F m -3 m'
_symmetry_Int_Tables_number 225
_symmetry_space_group_name_Hall '-F 4 2 3'
loop_
_atom_site_label
_atom_site_type_symbol
_atom_site_fract_x
_atom_site_fract_y
_atom_site_fract_z
Rb1 Rb 0.000 0.000 0.000
Ca1 Ca 0.250 0.250 0.250
Cu1 Cu 0.000 0.000 0.500
```



(3)
Below is a relaxed structure of RbCa2Cu, with properties calculated at the PBE level.

Values from the calculation:
DFT total energy: -1.929 eV/atom
Calculated formation energy: 0.337 eV per atom
Size of the total moment: 0.0 μB per cell
Distance to the lowest polymorph of the same formula: 0.907 eV/f.u.
Density: 1.610 g/cm3

```
data_RbCa2Cu
_cell_length_a 8.735
_cell_length_b 8.735
_cell_length_c 12.394
_cell_angle_alpha 90.00
_cell_angle_beta 90.00
_cell_angle_gamma 90.00
_symmetry_space_group_name_H-M 'I -4 2 d'
_symmetry_Int_Tables_number 122
_symmetry_space_group_name_Hall 'I -4 2bw'
loop_
_atom_site_label
_atom_site_type_symbol
_atom_site_fract_x
_atom_site_fract_y
_atom_site_fract_z
Rb1 Rb 0.000 0.000 0.000
Ca1 Ca 0.012 0.250 0.625
Cu1 Cu 0.000 0.000 0.500
```



(4)
Below is a relaxed structure of RbCa2Cu2, with properties calculated at the PBE level.

Values from the calculation:
DFT total energy: -2.486 eV/atom
Calculated formation energy: 0.147 eV per atom
Size of the total moment: 0.0 μB per cell
Distance to the lowest polymorph of the same formula: 0.000 eV/f.u.
Density: 3.231 g/cm3

```
data_RbCa2Cu2
_cell_length_a 8.567
_cell_length_b 8.567
_cell_length_c 4.099
_cell_angle_alpha 90.00
_cell_angle_beta 90.00
_cell_angle_gamma 90.00
_symmetry_space_group_name_H-M 'P 4/m b m'
_symmetry_Int_Tables_number 127
_symmetry_space_group_name_Hall '-P 4 2ab'
loop_
_atom_site_label
_atom_site_type_symbol
_atom_site_fract_x
_atom_site_fract_y
_atom_site_fract_z
Rb1 Rb 0.000 0.000 0.000
Ca1 Ca 0.154 0.346 0.500
Cu1 Cu 0.104 0.604 0.000
```



(5)
Below is a relaxed structure of Rb2Ca2Cu, with properties calculated at the PBE level.

Values from the calculation:
DFT total energy: -1.753 eV/atom
Calculated formation energy: 0.254 eV per atom
Size of the total moment: 0.0 μB per cell
Density: 2.186 g/cm3

```
data_Rb2Ca2Cu
_cell_length_a 7.989
_cell_length_b 7.989
_cell_length_c 7.489
_cell_angle_alpha 90.00
_cell_angle_beta 90.00
_cell_angle_gamma 90.00
_symmetry_space_group_name_H-M 'P 4/m b m'
_symmetry_Int_Tables_number 127
_symmetry_space_group_name_Hall '-P 4 2ab'
loop_
_atom_site_label
_atom_site_type_symbol
_atom_site_fract_x
_atom_site_fract_y
_atom_site_fract_z
Rb1 Rb 0.184 0.316 0.000
Ca1 Ca 0.177 0.677 0.500
Cu1 Cu 0.000 0.000 0.500
```



(6)
Below is a relaxed structure of RbCaCu2, with properties calculated at the PBE level.

Values from the calculation:
DFT total energy: -2.284 eV/atom
Calculated formation energy: 0.506 eV per atom
Size of the total moment: 0.0 μB per cell
Distance to the lowest polymorph of the same formula: 0.449 eV/f.u.
Density: 3.261 g/cm3

```
data_RbCaCu2
_cell_length_a 8.338
_cell_length_b 8.338
_cell_length_c 7.401
_cell_angle_alpha 90.00
_cell_angle_beta 90.00
_cell_angle_gamma 90.00
_symmetry_space_group_name_H-M 'I -4 2 d'
_symmetry_Int_Tables_number 122
_symmetry_space_group_name_Hall 'I -4 2bw'
loop_
_atom_site_label
_atom_site_type_symbol
_atom_site_fract_x
_atom_site_fract_y
_atom_site_fract_z
Rb1 Rb 0.000 0.000 0.000
Ca1 Ca 0.000 0.000 0.500
Cu1 Cu 0.212 0.250 0.625
```



(7)
Below is a relaxed structure of Rb2CaScCu, with properties calculated at the PBE level.

Values from the calculation:
DFT total energy: -2.270 eV/atom
Calculated formation energy: 0.602 eV per atom
Size of the total moment: 0.0 μB per cell
Density: 2.339 g/cm3

```
data_Rb2CaScCu
_cell_length_a 6.510
_cell_length_b 6.510
_cell_length_c 5.352
_cell_angle_alpha 90.00
_cell_angle_beta 90.00
_cell_angle_gamma 90.00
_symmetry_space_group_name_H-M 'P 4/m m m'
_symmetry_Int_Tables_number 123
_symmetry_space_group_name_Hall '-P 4 2'
loop_
_atom_site_label
_atom_site_type_symbol
_atom_site_fract_x
_atom_site_fract_y
_atom_site_fract_z
Rb1 Rb 0.000 0.500 0.000
Ca1 Ca 0.000 0.000 0.500
Sc1 Sc 0.500 0.500 0.500
Cu1 Cu 0.500 0.500 0.000
```



(8)
Below is a relaxed structure of RbSrCa2Cu, with properties calculated at the PBE level.

Values from the calculation:
DFT total energy: -2.082 eV/atom
Calculated formation energy: 0.067 eV per atom
Size of the total moment: 0.0 μB per cell
Density: 2.408 g/cm3

```
data_RbSrCa2Cu
_cell_length_a 5.935
_cell_length_b 5.935
_cell_length_c 6.202
_cell_angle_alpha 90.00
_cell_angle_beta 90.00
_cell_angle_gamma 90.00
_symmetry_space_group_name_H-M 'P 4/m m m'
_symmetry_Int_Tables_number 123
_symmetry_space_group_name_Hall '-P 4 2'
loop_
_atom_site_label
_atom_site_type_symbol
_atom_site_fract_x
_atom_site_fract_y
_atom_site_fract_z
Rb1 Rb 0.000 0.000 0.000
Sr1 Sr 0.500 0.500 0.000
Ca1 Ca 0.000 0.500 0.500
Cu1 Cu 0.500 0.500 0.500
```



(9)
Below is a relaxed structure of Ca4CuRe, with properties calculated at the PBE level.

Values from the calculation:
DFT total energy: -2.833 eV/atom
Calculated formation energy: 1.259 eV per atom
Size of the total moment: 7.1 μB per cell
Density: 4.153 g/cm3

```
data_Ca4CuRe
_cell_length_a 8.688
_cell_length_b 8.688
_cell_length_c 8.688
_cell_angle_alpha 90.00
_cell_angle_beta 90.00
_cell_angle_gamma 90.00
_symmetry_space_group_name_H-M 'F -4 3 m'
_symmetry_Int_Tables_number 216
_symmetry_space_group_name_Hall 'F -4 2 3'
loop_
_atom_site_label
_atom_site_type_symbol
_atom_site_fract_x
_atom_site_fract_y
_atom_site_fract_z
Ca1 Ca 0.124 0.124 0.376
Cu1 Cu 0.000 0.000 0.000
Re1 Re 0.250 0.250 0.750
```



(10)
Below is a relaxed structure of CaCuRe, with properties calculated at the PBE level.

Values from the calculation:
DFT total energy: -5.960 eV/atom
Calculated formation energy: 0.222 eV per atom
Size of the total moment: 0.0 μB per cell
Distance to the lowest polymorph of the same formula: 0.112 eV/f.u.
Density: 8.089 g/cm3

```
data_CaCuRe
_cell_length_a 10.690
_cell_length_b 4.264
_cell_length_c 5.224
_cell_angle_alpha 90.00
_cell_angle_beta 92.08
_cell_angle_gamma 90.00
_symmetry_space_group_name_H-M 'C 1 m 1'
_symmetry_Int_Tables_number 8
loop_
_symmetry_equiv_pos_as_xyz
'x,y,z'
'x,-y,z'
'x+1/2,y+1/2,z'
'x+1/2,-y+1/2,z'
loop_
_atom_site_label
_atom_site_type_symbol
_atom_site_fract_x
_atom_site_fract_y
_atom_site_fract_z
Ca1 Ca 0.000 0.000 0.000
Ca2 Ca 0.052 0.500 0.513
Cu1 Cu 0.285 0.000 0.269
Cu2 Cu 0.324 0.500 0.492
Re1 Re 0.233 0.500 0.000
Re2 Re 0.259 0.000 0.757
```



(11)
Below is a relaxed structure of CaCuRe, with properties calculated at the PBE level.

Values from the calculation:
DFT total energy: -5.839 eV/atom
Calculated formation energy: 0.343 eV per atom
Size of the total moment: 0.0 μB per cell
Distance to the lowest polymorph of the same formula: 0.477 eV/f.u.
Density: 8.089 g/cm3

```
data_CaCuRe
_cell_length_a 11.266
_cell_length_b 3.162
_cell_length_c 7.080
_cell_angle_alpha 90.00
_cell_angle_beta 109.34
_cell_angle_gamma 90.00
_symmetry_space_group_name_H-M 'C 1 2/m 1'
_symmetry_Int_Tables_number 12
loop_
_symmetry_equiv_pos_as_xyz
'x,y,z'
'-x,-y,-z'
'-x,y,-z'
'x,-y,z'
'x+1/2,y+1/2,z'
'-x+1/2,-y+1/2,-z'
'-x+1/2,y+1/2,-z'
'x+1/2,-y+1/2,z'
loop_
_atom_site_label
_atom_site_type_symbol
_atom_site_fract_x
_atom_site_fract_y
_atom_site_fract_z
Ca1 Ca 0.000 0.000 0.000
Ca2 Ca 0.000 0.000 0.500
Cu1 Cu 0.203 0.500 0.364
Re1 Re 0.220 0.500 0.863
```



(12)
Below is a relaxed structure of Ca2CuRe, with properties calculated at the PBE level.

Values from the calculation:
DFT total energy: -4.539 eV/atom
Calculated formation energy: 0.598 eV per atom
Size of the total moment: 0.0 μB per cell
Distance to the lowest polymorph of the same formula: 0.547 eV/f.u.
Density: 6.468 g/cm3

```
data_Ca2CuRe
_cell_length_a 5.400
_cell_length_b 5.400
_cell_length_c 2.905
_cell_angle_alpha 90.00
_cell_angle_beta 90.00
_cell_angle_gamma 90.00
_symmetry_space_group_name_H-M 'P 4/m m m'
_symmetry_Int_Tables_number 123
_symmetry_space_group_name_Hall '-P 4 2'
loop_
_atom_site_label
_atom_site_type_symbol
_atom_site_fract_x
_atom_site_fract_y
_atom_site_fract_z
Ca1 Ca 0.000 0.500 0.000
Cu1 Cu 0.000 0.000 0.500
Re1 Re 0.500 0.500 0.500
```